(1)
Entry from the Alexandria database: crystalline Tl12H3S5 at its relaxed geometry (PBE-GGA).

Summary:
The calculation puts the total energy at -2.907 eV per atom. Its calculated volume is 33.30 Å³/atom. The spin magnetization comes out at 0.00 μB/cell.

```
data_Tl12H3S5
_chemical_formula_sum 'Tl96 H24 S40'
_symmetry_space_group_name_H-M 'I a -3 d'
_symmetry_Int_Tables_number 230
_symmetry_space_group_name_Hall '-I 4bd 2c 3'
_cell_length_a 17.4660
_cell_length_b 17.4660
_cell_length_c 17.4660
_cell_angle_alpha 90.00
_cell_angle_beta 90.00
_cell_angle_gamma 90.00
loop_
_atom_site_label
_atom_site_type_symbol
_atom_site_fract_x
_atom_site_fract_y
_atom_site_fract_z
_atom_site_occupancy
Tl1 Tl 0.0039 0.0572 0.6612 1
H1 H 0.0000 0.2500 0.1250 1
S1 S 0.0000 0.0000 0.0000 1
S2 S 0.0000 0.2500 0.3750 1
```


(2)
Entry from the Alexandria database: crystalline CsZrTe2Br at its relaxed geometry (PBE-GGA).

Summary:
The calculation puts the total energy at -4.502 eV per atom. Its calculated volume is 36.51 Å³/atom. The spin magnetization comes out at 0.00 μB/cell.

```
data_CsZrTe2Br
_chemical_formula_sum 'Cs1 Zr1 Te2 Br1'
_symmetry_space_group_name_H-M 'P 4/m m m'
_symmetry_Int_Tables_number 123
_symmetry_space_group_name_Hall '-P 4 2'
_cell_length_a 5.7109
_cell_length_b 5.7109
_cell_length_c 5.5973
_cell_angle_alpha 90.00
_cell_angle_beta 90.00
_cell_angle_gamma 90.00
loop_
_atom_site_label
_atom_site_type_symbol
_atom_site_fract_x
_atom_site_fract_y
_atom_site_fract_z
_atom_site_occupancy
Cs1 Cs 0.0000 0.0000 0.0000 1
Zr1 Zr 0.5000 0.5000 0.5000 1
Te1 Te 0.0000 0.5000 0.5000 1
Br1 Br 0.5000 0.5000 0.0000 1
```